# 1
Y6Si2HgTe3 | GGA-PBE | optimized geometry

Results
Formation energy from raw total energies   -1029 meV/atom

a = 9.651 Å, b = 9.651 Å, c = 8.725 Å
α = 104.98°, β = 104.98°, γ = 25.33°
Sites, in units of the cell vectors:
Y  0.009  0.009  0.256
Y  0.325  0.325  0.436
Y  0.331  0.331  0.893
Y  0.669  0.669  0.107
Y  0.675  0.675  0.564
Y  0.991  0.991  0.744
Si  0.166  0.166  0.332
Si  0.834  0.834  0.668
Hg  0.500  0.500  0.000
Te  0.164  0.164  0.831
Te  0.500  0.500  0.500
Te  0.836  0.836  0.169

# 2
Th5Si2Hg2 | GGA-PBE | optimized geometry

Results
Formation energy from raw total energies   -443 meV/atom

a = 9.050 Å, b = 9.050 Å, c = 7.815 Å
α = 90.00°, β = 90.00°, γ = 50.38°
Sites, in units of the cell vectors:
Th  0.000  0.000  0.000
Th  0.065  0.688  0.681
Th  0.188  0.565  0.181
Th  0.312  0.935  0.681
Th  0.435  0.812  0.181
Th  0.500  0.500  0.500
Th  0.565  0.188  0.819
Th  0.688  0.065  0.319
Th  0.812  0.435  0.819
Th  0.935  0.312  0.319
Si  0.111  0.889  0.386
Si  0.389  0.611  0.886
Si  0.611  0.389  0.114
Si  0.889  0.111  0.614
Hg  0.223  0.223  0.000
Hg  0.277  0.277  0.500
Hg  0.723  0.723  0.500
Hg  0.777  0.777  0.000

# 3
ThSiHg | GGA-PBE | optimized geometry

Results
Formation energy from raw total energies   -436 meV/atom

a = 9.153 Å, b = 9.153 Å, c = 3.903 Å
α = 90.00°, β = 90.00°, γ = 154.03°
Sites, in units of the cell vectors:
Th  0.097  0.903  0.750
Th  0.903  0.097  0.250
Si  0.461  0.539  0.750
Si  0.539  0.461  0.250
Hg  0.290  0.710  0.750
Hg  0.710  0.290  0.250

# 4
Th5Si2Hg | GGA-PBE | optimized geometry

Results
Formation energy from raw total energies   -425 meV/atom

a = 9.161 Å, b = 9.161 Å, c = 9.161 Å
α = 129.91°, β = 129.91°, γ = 73.55°
Sites, in units of the cell vectors:
Th  0.000  0.000  0.000
Th  0.035  0.535  0.846
Th  0.189  0.035  0.500
Th  0.311  0.811  0.846
Th  0.465  0.311  0.500
Th  0.500  0.500  0.000
Th  0.535  0.689  0.500
Th  0.689  0.189  0.154
Th  0.811  0.965  0.500
Th  0.965  0.465  0.154
Si  0.118  0.382  0.500
Si  0.382  0.882  0.263
Si  0.618  0.118  0.737
Si  0.882  0.618  0.500
Hg  0.250  0.250  0.000
Hg  0.750  0.750  0.000

# 5
Ti2SiHg2 | GGA-PBE | optimized geometry

Results
Formation energy from raw total energies   -6 meV/atom

a = 6.595 Å, b = 6.595 Å, c = 4.474 Å
α = 90.00°, β = 90.00°, γ = 90.00°
Sites, in units of the cell vectors:
Ti  0.150  0.350  0.000
Ti  0.350  0.850  0.000
Ti  0.650  0.150  0.000
Ti  0.850  0.650  0.000
Si  0.000  0.000  0.000
Si  0.500  0.500  0.000
Hg  0.158  0.658  0.500
Hg  0.342  0.158  0.500
Hg  0.658  0.842  0.500
Hg  0.842  0.342  0.500

# 6
Ti2SiHg | GGA-PBE | optimized geometry

Results
Formation energy from raw total energies   54 meV/atom

a = 5.823 Å, b = 5.823 Å, c = 5.823 Å
α = 103.46°, β = 103.46°, γ = 122.31°
Sites, in units of the cell vectors:
Ti  0.104  0.625  0.979
Ti  0.375  0.354  0.479
Ti  0.646  0.125  0.021
Ti  0.875  0.896  0.521
Si  0.000  0.000  0.000
Si  0.750  0.250  0.500
Hg  0.250  0.750  0.500
Hg  0.500  0.500  0.000

# 7
Ti3SiHg | GGA-PBE | optimized geometry

Results
Formation energy from raw total energies   143 meV/atom
Energy above the most stable polymorph in this dataset   0 meV/atom

a = 4.629 Å, b = 4.629 Å, c = 4.629 Å
α = 90.00°, β = 90.00°, γ = 90.00°
Sites, in units of the cell vectors:
Ti  0.000  0.000  0.500
Ti  0.000  0.500  0.000
Ti  0.500  0.000  0.000
Si  0.000  0.000  0.000
Hg  0.500  0.500  0.500

# 8
TlSi2Hg | GGA-PBE | optimized geometry

Results
Formation energy from raw total energies   631 meV/atom
Energy above the most stable polymorph in this dataset   458 meV/atom

a = 3.153 Å, b = 3.153 Å, c = 10.027 Å
α = 90.00°, β = 90.00°, γ = 117.32°
Sites, in units of the cell vectors:
Tl  0.000  0.000  0.000
Si  0.500  0.500  0.270
Si  0.500  0.500  0.730
Hg  0.000  0.000  0.500